[1]
CdTc3Mo after structural relaxation, computed with PBE.

Properties
ΔE to the lowest computed polymorph (meV/atom): 0
Crystal system: cubic
Energy of formation (eV/atom): 1.5405
D(E_F) (states/eV/f.u.): 5.69

Cell lengths 4.703, 4.703, 4.703 Å; angles 90.00, 90.00, 90.00 degrees
Site moments in Bohr magnetons follow the coordinates.
Fractional coordinates of all 5 atoms:
Mo: 0.000 0.000 0.000  -0.15
Tc: 0.000 0.500 0.000  0.77
Tc: 0.000 0.000 0.500  0.73
Tc: 0.500 0.000 0.000  0.77
Cd: 0.500 0.500 0.500  -0.03



[2]
CdTcMo2 after structural relaxation, computed with PBE.

Properties
Crystal system: tetragonal
Energy of formation (eV/atom): 0.4306
D(E_F) (states/eV/f.u.): 2.73

Cell lengths 4.090, 3.983, 3.983 Å; angles 90.00, 90.00, 90.00 degrees
Fractional coordinates of all 4 atoms:
Cd: 0.500 0.000 0.500
Mo: 0.000 0.000 0.000
Mo: 0.000 0.500 0.500
Tc: 0.500 0.500 0.000



[3]
CdTcMo4 after structural relaxation, computed with PBE.

Properties
Crystal system: cubic
Energy of formation (eV/atom): 0.3776
D(E_F) (states/eV/f.u.): 5.43

Cell lengths 5.229, 5.229, 5.229 Å; angles 60.00, 60.00, 60.00 degrees
Fractional coordinates of all 6 atoms:
Cd: 0.000 0.000 0.000
Tc: 0.750 0.750 0.750
Mo: 0.876 0.375 0.375
Mo: 0.375 0.375 0.876
Mo: 0.375 0.876 0.375
Mo: 0.375 0.375 0.375



[4]
CdTcMo2 after structural relaxation, computed with PBE.

Properties
Crystal system: tetragonal
Energy of formation (eV/atom): 0.3342
D(E_F) (states/eV/f.u.): 2.89

Cell lengths 3.260, 3.260, 6.372 Å; angles 90.00, 90.00, 90.00 degrees
Fractional coordinates of all 4 atoms:
Cd: 0.500 0.500 0.747
Mo: 0.000 0.000 0.036
Mo: 0.500 0.500 0.255
Tc: 0.000 0.000 0.462



[5]
CdTcMo2 after structural relaxation, computed with PBE.

Properties
Crystal system: monoclinic
Energy of formation (eV/atom): 0.3696
D(E_F) (states/eV/f.u.): 3.73

Cell lengths 4.456, 2.716, 5.568 Å; angles 77.77, 90.00, 90.00 degrees
Fractional coordinates of all 4 atoms:
Cd: 0.500 0.725 0.750
Mo: 0.000 0.039 0.008
Mo: 0.500 0.264 0.256
Tc: 0.000 0.471 0.485



[6]
CdTcMo2 after structural relaxation, computed with PBE.

Properties
Crystal system: orthorhombic
Energy of formation (eV/atom): 0.4398
D(E_F) (states/eV/f.u.): 4.51

Cell lengths 5.051, 5.051, 2.776 Å; angles 90.00, 90.00, 113.04 degrees
Fractional coordinates of all 4 atoms:
Cd: 0.000 0.500 0.500
Mo: 0.000 0.000 0.000
Mo: 0.500 0.500 0.000
Tc: 0.500 0.000 0.500



[7]
CdTcMo2 after structural relaxation, computed with PBE.

Properties
Crystal system: orthorhombic
Energy of formation (eV/atom): 0.3137
D(E_F) (states/eV/f.u.): 2.97

Cell lengths 4.046, 2.856, 6.418 Å; angles 63.63, 90.00, 90.00 degrees
Fractional coordinates of all 4 atoms:
Cd: 0.500 0.750 0.750
Mo: 0.000 0.969 0.033
Mo: 0.000 0.531 0.467
Tc: 0.500 0.250 0.250



[8]
CdTcMo2 after structural relaxation, computed with PBE.

Properties
Crystal system: tetragonal
Energy of formation (eV/atom): 0.3184
D(E_F) (states/eV/f.u.): 6.02

Cell lengths 2.855, 2.855, 8.218 Å; angles 90.00, 90.00, 90.00 degrees
Fractional coordinates of all 4 atoms:
Cd: 0.500 0.500 0.750
Mo: 0.000 0.000 0.030
Mo: 0.000 0.000 0.470
Tc: 0.500 0.500 0.250



[9]
CdTcMo2 after structural relaxation, computed with PBE.

Properties
Crystal system: orthorhombic
Energy of formation (eV/atom): 0.3844
D(E_F) (states/eV/f.u.): 3.60

Cell lengths 5.323, 5.323, 4.588 Å; angles 64.47, 64.47, 34.86 degrees
Fractional coordinates of all 4 atoms:
Cd: 0.248 0.248 0.251
Mo: 0.020 0.020 0.981
Mo: 0.751 0.751 0.749
Tc: 0.481 0.481 0.519



[10]
CdTcMo2 after structural relaxation, computed with PBE.

Properties
Crystal system: orthorhombic
Energy of formation (eV/atom): 0.3579
D(E_F) (states/eV/f.u.): 3.69

Cell lengths 5.338, 5.338, 4.511 Å; angles 65.03, 65.03, 34.90 degrees
Fractional coordinates of all 4 atoms:
Cd: 0.250 0.250 0.250
Mo: 0.019 0.019 0.981
Mo: 0.481 0.481 0.519
Tc: 0.750 0.750 0.750



[11]
Cd4TcMo after structural relaxation, computed with PBE.

Properties
Crystal system: cubic
Energy of formation (eV/atom): 0.7273
D(E_F) (states/eV/f.u.): 3.46

Cell lengths 5.453, 5.453, 5.453 Å; angles 60.00, 60.00, 60.00 degrees
Site moments in Bohr magnetons follow the coordinates.
Fractional coordinates of all 6 atoms:
Cd: 0.876 0.375 0.375  0.00
Cd: 0.375 0.375 0.876  0.00
Cd: 0.375 0.876 0.375  0.00
Cd: 0.375 0.375 0.375  0.00
Tc: 0.000 0.000 0.000  1.18
Mo: 0.750 0.750 0.750  -2.02



[12]
Cd3TcMo after structural relaxation, computed with PBE.

Properties
ΔE to the lowest computed polymorph (meV/atom): 0
Crystal system: cubic
Energy of formation (eV/atom): 1.5536
D(E_F) (states/eV/f.u.): 4.84

Cell lengths 5.174, 5.174, 5.174 Å; angles 90.00, 90.00, 90.00 degrees
Site moments in Bohr magnetons follow the coordinates.
Fractional coordinates of all 5 atoms:
Mo: 0.500 0.500 0.500  3.70
Tc: 0.000 0.000 0.000  -1.19
Cd: 0.000 0.500 0.000  -0.04
Cd: 0.000 0.000 0.500  -0.02
Cd: 0.500 0.000 0.000  0.00



[13]
CdTcMo3 after structural relaxation, computed with PBE.

Properties
ΔE to the lowest computed polymorph (meV/atom): 0
Crystal system: cubic
Energy of formation (eV/atom): 1.4659
D(E_F) (states/eV/f.u.): 5.77

Cell lengths 4.720, 4.720, 4.720 Å; angles 90.00, 90.00, 90.00 degrees
Fractional coordinates of all 5 atoms:
Mo: 0.000 0.500 0.000
Mo: 0.000 0.000 0.500
Mo: 0.500 0.000 0.000
Tc: 0.000 0.000 0.000
Cd: 0.500 0.500 0.500



[14]
CdTcMo2 after structural relaxation, computed with PBE.

Properties
Crystal system: orthorhombic
Energy of formation (eV/atom): 0.2467
D(E_F) (states/eV/f.u.): 3.37

Cell lengths 2.759, 2.759, 9.286 Å; angles 90.00, 90.00, 109.68 degrees
Fractional coordinates of all 4 atoms:
Cd: 0.500 0.500 0.748
Mo: 0.000 0.000 0.019
Mo: 0.500 0.500 0.253
Tc: 0.000 0.000 0.481



[15]
CdTcMo2 after structural relaxation, computed with PBE.

Properties
Crystal system: tetragonal
Energy of formation (eV/atom): 0.4625
D(E_F) (states/eV/f.u.): 2.79

Cell lengths 4.950, 4.950, 4.950 Å; angles 132.17, 132.17, 69.96 degrees
Fractional coordinates of all 4 atoms:
Cd: 0.750 0.250 0.500
Mo: 0.000 0.000 0.000
Mo: 0.250 0.750 0.500
Tc: 0.500 0.500 0.000



[16]
CdTcMo2 after structural relaxation, computed with PBE.

Properties
Crystal system: trigonal
Energy of formation (eV/atom): 0.2924
D(E_F) (states/eV/f.u.): 2.32

Cell lengths 9.713, 9.713, 9.713 Å; angles 16.72, 16.72, 16.72 degrees
Fractional coordinates of all 4 atoms:
Cd: 0.750 0.750 0.750
Mo: 0.993 0.993 0.993
Mo: 0.507 0.507 0.507
Tc: 0.250 0.250 0.250



[17]
CdTcMo2 after structural relaxation, computed with PBE.

Properties
Crystal system: trigonal
Energy of formation (eV/atom): 0.3322
D(E_F) (states/eV/f.u.): 3.31

Cell lengths 9.616, 9.616, 9.616 Å; angles 17.04, 17.04, 17.04 degrees
Fractional coordinates of all 4 atoms:
Cd: 0.752 0.752 0.752
Mo: 0.995 0.995 0.995
Mo: 0.246 0.246 0.246
Tc: 0.507 0.507 0.507



[18]
CdTcMo2 after structural relaxation, computed with PBE.

Properties
Crystal system: orthorhombic
Energy of formation (eV/atom): 0.3565
D(E_F) (states/eV/f.u.): 2.73

Cell lengths 2.914, 3.981, 5.831 Å; angles 90.00, 90.00, 90.00 degrees
Fractional coordinates of all 4 atoms:
Cd: 0.500 0.500 0.749
Mo: 0.000 0.000 0.037
Mo: 0.500 0.500 0.257
Tc: 0.000 0.000 0.458



[19]
CdTcMo2 after structural relaxation, computed with PBE.

Properties
Crystal system: orthorhombic
Energy of formation (eV/atom): 0.2914
D(E_F) (states/eV/f.u.): 3.42

Cell lengths 2.747, 2.747, 9.344 Å; angles 90.00, 90.00, 109.52 degrees
Fractional coordinates of all 4 atoms:
Cd: 0.500 0.500 0.750
Mo: 0.000 0.000 0.021
Mo: 0.000 0.000 0.479
Tc: 0.500 0.500 0.250



[20]
CdTcMo2 after structural relaxation, computed with PBE.

Properties
Crystal system: cubic
Energy of formation (eV/atom): 0.4720
D(E_F) (states/eV/f.u.): 4.22

Cell lengths 4.529, 4.529, 4.529 Å; angles 60.00, 60.00, 60.00 degrees
Fractional coordinates of all 4 atoms:
Cd: 0.500 0.500 0.500
Mo: 0.000 0.000 0.000
Mo: 0.250 0.250 0.250
Tc: 0.750 0.750 0.750



[21]
Cd3TcMo after structural relaxation, computed with PBE.

Properties
ΔE to the lowest computed polymorph (meV/atom): 224
Crystal system: cubic
Energy of formation (eV/atom): 1.7771
D(E_F) (states/eV/f.u.): 4.28

Cell lengths 5.226, 5.226, 5.226 Å; angles 90.00, 90.00, 90.00 degrees
Site moments in Bohr magnetons follow the coordinates.
Fractional coordinates of all 5 atoms:
Mo: 0.000 0.000 0.000  -1.06
Tc: 0.500 0.500 0.500  3.57
Cd: 0.000 0.500 0.000  -0.04
Cd: 0.000 0.000 0.500  -0.04
Cd: 0.500 0.000 0.000  -0.01



[22]
CdTcMo2 after structural relaxation, computed with PBE.

Properties
Crystal system: monoclinic
Energy of formation (eV/atom): 0.4279
D(E_F) (states/eV/f.u.): 3.91

Cell lengths 5.479, 5.318, 2.704 Å; angles 82.01, 77.07, 117.27 degrees
Fractional coordinates of all 4 atoms:
Cd: 0.500 0.500 0.000
Mo: 0.000 0.000 0.000
Mo: 0.500 0.000 0.500
Tc: 0.000 0.500 0.500



[23]
CdTcMo2W after structural relaxation, computed with PBE.

Properties
Crystal system: tetragonal
Energy of formation (eV/atom): 2.0612
D(E_F) (states/eV/f.u.): 4.46

Cell lengths 4.724, 5.118, 4.724 Å; angles 90.00, 90.00, 90.00 degrees
Site moments in Bohr magnetons follow the coordinates.
Fractional coordinates of all 5 atoms:
Mo: 0.000 0.000 0.500  -0.85
Mo: 0.500 0.000 0.000  -1.00
Tc: 0.500 0.500 0.500  2.88
W: 0.000 0.000 0.000  0.24
Cd: 0.000 0.500 0.000  0.00



[24]
Cd2TeMo after structural relaxation, computed with PBE.

Properties
Crystal system: tetragonal
D(E_F) (states/eV/f.u.): 2.55
Uncorrected formation energy (eV per atom): 0.439

Cell lengths 2.952, 2.952, 10.799 Å; angles 90.00, 90.00, 90.00 degrees
Fractional coordinates of all 4 atoms:
Cd: 0.000 0.000 0.055
Cd: 0.000 0.000 0.445
Mo: 0.500 0.500 0.250
Te: 0.500 0.500 0.750



[25]
Cd2TeMo after structural relaxation, computed with PBE.

Properties
Crystal system: orthorhombic
D(E_F) (states/eV/f.u.): 3.88
Uncorrected formation energy (eV per atom): 0.519

Cell lengths 5.385, 5.385, 3.346 Å; angles 90.00, 90.00, 118.21 degrees
Fractional coordinates of all 4 atoms:
Cd: 0.000 0.000 0.000
Cd: 0.500 0.500 0.000
Mo: 0.500 0.000 0.500
Te: 0.000 0.500 0.500



[26]
Cd2TeMo after structural relaxation, computed with PBE.

Properties
Crystal system: orthorhombic
D(E_F) (states/eV/f.u.): 3.12
Uncorrected formation energy (eV per atom): 0.392

Cell lengths 3.086, 3.086, 10.959 Å; angles 90.00, 90.00, 114.22 degrees
Fractional coordinates of all 4 atoms:
Cd: 0.000 0.000 0.035
Cd: 0.500 0.500 0.281
Mo: 0.000 0.000 0.497
Te: 0.500 0.500 0.687



[27]
Cd3TeMo after structural relaxation, computed with PBE.

Properties
ΔE to the lowest computed polymorph (meV/atom): 0
Crystal system: cubic
D(E_F) (states/eV/f.u.): 5.26
Uncorrected formation energy (eV per atom): 0.980

Cell lengths 5.433, 5.433, 5.433 Å; angles 90.00, 90.00, 90.00 degrees
Site moments in Bohr magnetons follow the coordinates.
Fractional coordinates of all 5 atoms:
Mo: 0.000 0.000 0.000  2.55
Te: 0.500 0.500 0.500  0.01
Cd: 0.000 0.500 0.000  0.02
Cd: 0.000 0.000 0.500  0.02
Cd: 0.500 0.000 0.000  0.02



[28]
Cd2TeMo after structural relaxation, computed with PBE.

Properties
Crystal system: monoclinic
D(E_F) (states/eV/f.u.): 3.00
Uncorrected formation energy (eV per atom): 0.366

Cell lengths 5.100, 5.100, 5.412 Å; angles 78.46, 78.46, 38.58 degrees
Fractional coordinates of all 4 atoms:
Cd: 0.006 0.006 0.965
Cd: 0.763 0.763 0.757
Mo: 0.503 0.503 0.463
Te: 0.228 0.228 0.315



[29]
Cd2TeMo after structural relaxation, computed with PBE.

Properties
Crystal system: tetragonal
D(E_F) (states/eV/f.u.): 2.88
Uncorrected formation energy (eV per atom): 0.643

Cell lengths 8.320, 8.320, 6.535 Å; angles 50.46, 50.46, 90.00 degrees
Site moments in Bohr magnetons follow the coordinates.
Fractional coordinates of all 8 atoms:
Mo: 0.500 0.500 0.000  2.68
Mo: 0.250 0.750 0.500  2.68
Te: 0.000 0.000 0.000  0.02
Te: 0.750 0.250 0.500  0.02
Cd: 0.618 0.125 0.250  0.00
Cd: 0.132 0.625 0.250  -0.01
Cd: 0.375 0.382 0.750  0.00
Cd: 0.875 0.868 0.750  0.00



[30]
Cd2TeMo after structural relaxation, computed with PBE.

Properties
Crystal system: orthorhombic
D(E_F) (states/eV/f.u.): 1.51
Uncorrected formation energy (eV per atom): 0.372

Cell lengths 7.394, 7.394, 4.388 Å; angles 72.71, 72.71, 24.26 degrees
Fractional coordinates of all 4 atoms:
Cd: 0.059 0.059 0.942
Cd: 0.441 0.441 0.558
Mo: 0.750 0.750 0.750
Te: 0.250 0.250 0.250